# 1
Here is a geometry-optimized Tl4HgPbAu structure from Alexandria via LeMat-Bulk. Energies are from PBE.

a b c (Å): 18.5875 6.4473 7.2933
angles (deg): 90.00 106.88 90.00
Closest atoms and distances in Å follow each position.
Space group C2/m (No. 12)
Inequivalent atoms, fractional coordinates:
1 Tl 0.1117 0.0000 0.1401  2 Hg 3.05-3.25, 2 Au 3.24, 3 Tl 3.36-3.41
2 Tl 0.1679 0.2523 0.5693  1 Au 3.10, 4 Tl 3.19-3.46, 1 Hg 3.33
3 Tl 0.2332 0.5000 0.0079  1 Au 2.88
4 Hg 0.0361 0.0000 0.7081  1 Hg 2.94, 2 Tl 3.05-3.25, 2 Pb 3.25
5 Pb 0.0344 0.5000 0.7668  2 Au 2.88-3.01
6 Au 0.1146 0.5000 0.1893  2 Pb 2.88-3.01, 3 Tl 2.88-3.10

# 2
Here is a geometry-optimized Tl2Hg2Pb2Au structure from Alexandria via LeMat-Bulk. Energies are from PBE.

a b c (Å): 3.5138 7.3635 8.3786
angles (deg): 99.27 101.82 98.16
Closest atoms and distances in Å follow each position.
Space group P-1 (No. 2)
Inequivalent atoms, fractional coordinates:
1 Tl 0.0873 0.3810 0.2575  2 Au 3.00-3.01, 3 Hg 3.17-3.35
2 Hg 0.3141 0.7956 0.4668  1 Hg 3.02, 3 Tl 3.17-3.35, 1 Pb 3.27
3 Pb 0.2358 0.1061 0.8615  1 Au 2.89
4 Au 0.5000 0.5000 0.0000  2 Pb 2.89, 4 Tl 3.00-3.01

Summary of final energy in eV/atom
-2.38; -2.29
(order as listed above)
Summary of DFT formation energy in eV per atom
0.011; -0.001
(order as listed above)